A relaxed structure of K2CaI, computed with PBE-GGA.

Cell lengths 10.811, 10.811, 8.504 Å; angles 50.53, 50.53, 90.00 degrees
Positions (direct):
Ca: 0.500 0.500 0.000
Ca: 0.250 0.750 0.500
I: 0.750 0.250 0.500
I: 0.000 0.000 0.000
K: 0.875 0.940 0.750
K: 0.060 0.625 0.250
K: 0.375 0.310 0.750
K: 0.690 0.125 0.250

E: -1.82 eV per atom
calculated volume: 435 Å³/cell
space-group type: No. 122
magnetic moment: 0.00 μB per atom